Record 1
AlFe2Os PBEsol relaxed; theoretical density = 11.32 g/cm3; volume = 48.2 Å³/f.u.
1.0
2.934 0.000 0.000
0.000 4.015 -0.042
-1.467 -1.966 4.115
Os Fe Al
1 2 1
Cartesian
0.000 2.008 -0.021
0.000 0.021 2.035
1.467 2.028 2.039
1.467 0.000 0.000


Record 2
AlFe2Os PBEsol relaxed; theoretical density = 11.73 g/cm3; volume = 46.6 Å³/f.u.
1.0
-0.567 1.710 -1.999
0.045 -2.038 -1.757
-6.283 -0.965 0.958
Os Fe Al
1 2 1
Cartesian
-0.261 -0.164 -1.878
-4.666 -0.717 0.711
-1.617 -0.248 0.247
-3.403 -0.647 -1.399


Record 3
ScAlFe2Os PBEsol relaxed; theoretical density = 7.89 g/cm3; volume = 78.7 Å³/f.u.
1.0
4.074 0.000 0.000
0.000 4.074 0.000
0.000 0.000 4.744
Sc Os Fe Al
1 1 2 1
Cartesian
0.000 0.000 0.000
2.037 2.037 2.372
0.000 2.037 0.000
2.037 0.000 0.000
0.000 0.000 2.372


Record 4
AlFeSnOs2 PBEsol relaxed; theoretical density = 9.34 g/cm3; volume = 103.4 Å³/f.u.
1.0
4.518 0.000 0.000
0.000 4.785 0.000
0.000 0.000 4.785
Al Os Sn Fe
1 2 1 1
Cartesian
2.259 2.392 2.392
0.000 0.000 2.392
0.000 2.392 0.000
0.000 0.000 0.000
2.259 0.000 0.000


Record 5
AlFe3P PBEsol relaxed; theoretical density = 4.91 g/cm3; volume = 76.3 Å³/f.u.
1.0
-3.009 -2.975 -0.286
1.746 -2.080 3.257
-2.425 2.193 2.701
P Fe Al
1 3 1
Cartesian
-1.844 -1.431 2.836
0.873 -1.040 1.629
-1.213 1.096 1.350
-1.504 -1.487 -0.143
0.000 0.000 0.000


Record 6
AlFe2P PBEsol relaxed; theoretical density = 6.65 g/cm3; volume = 42.3 Å³/f.u.
1.0
-0.706 1.020 -2.445
-1.693 -2.120 -0.396
-4.186 2.892 2.415
P Fe Al
1 2 1
Cartesian
-1.200 -0.550 -1.421
-3.245 2.242 1.872
-0.940 0.650 0.542
-3.292 0.896 -0.213


Record 7
AlFeP2 PBEsol relaxed; theoretical density = 4.78 g/cm3; volume = 50.3 Å³/f.u.
1.0
3.127 0.000 0.000
0.000 4.010 0.000
0.000 0.000 4.012
P Fe Al
2 1 1
Cartesian
0.000 0.000 0.000
0.000 2.005 2.006
1.563 0.000 2.006
1.563 2.005 0.000


Record 8
Al2FePb PBEsol relaxed; theoretical density = 7.54 g/cm3; volume = 69.8 Å³/f.u.
1.0
2.941 0.000 0.000
0.000 2.941 0.000
0.000 0.000 8.073
Pb Fe Al
1 1 2
Cartesian
1.470 1.470 4.037
1.470 1.470 0.000
0.000 0.000 6.740
0.000 0.000 1.333


Record 9
Al2FePb PBEsol relaxed; theoretical density = 7.44 g/cm3; volume = 70.8 Å³/f.u.
1.0
-0.064 1.722 2.709
1.853 -2.192 1.438
5.606 3.406 -2.032
Pb Fe Al
1 1 2
Cartesian
4.914 2.207 0.616
2.403 1.460 -0.871
0.345 0.210 -0.125
2.536 0.762 1.478


Record 10
Al2FePb PBEsol relaxed; theoretical density = 7.35 g/cm3; volume = 71.6 Å³/f.u.
1.0
3.086 0.000 0.000
-0.185 4.600 0.000
-1.450 -2.300 5.046
Pb Fe Al
1 1 2
Cartesian
1.450 2.300 0.000
0.000 0.000 0.000
-0.725 -1.150 2.523
0.725 1.150 2.523


Record 11
AlFePb PBEsol relaxed; theoretical density = 8.71 g/cm3; volume = 55.3 Å³/f.u.; polymorph energy (0 for the lowest one) = 0.0 meV/atom
1.0
4.276 0.000 0.000
2.138 3.703 0.000
2.138 1.234 3.491
Pb Fe Al
1 1 1
Cartesian
0.000 0.000 0.000
6.414 3.703 2.618
4.276 2.469 1.746


Record 12
AlFe3Pd PBEsol relaxed; theoretical density = 5.38 g/cm3; volume = 92.8 Å³/f.u.
1.0
4.528 0.000 0.000
0.000 4.528 0.000
0.000 0.000 4.528
Fe Pd Al
3 1 1
Cartesian
0.000 2.264 0.000
0.000 0.000 2.264
2.264 0.000 0.000
0.000 0.000 0.000
2.264 2.264 2.264


Record 13
Pr2AlFe16 PBEsol relaxed; theoretical density = 8.17 g/cm3; volume = 244.4 Å³/f.u.
1.0
6.303 0.016 0.014
0.811 6.250 0.014
0.811 0.714 6.209
Pr Al Fe
2 1 16
Cartesian
5.199 4.579 4.092
2.741 2.414 2.157
0.760 0.670 0.598
2.386 0.516 4.432
4.727 1.804 0.016
0.813 4.662 1.791
2.386 4.461 0.016
0.813 2.302 4.432
4.727 0.218 1.791
7.519 3.861 6.230
7.519 6.623 3.138
4.778 6.972 6.230
3.091 5.514 2.119
3.091 2.723 5.242
5.860 2.371 2.119
4.835 1.462 4.121
4.835 4.259 0.991
2.061 4.612 4.121
7.140 6.289 5.620


Record 14
PrAl6Fe6 PBEsol relaxed; theoretical density = 5.87 g/cm3; volume = 180.4 Å³/f.u.
1.0
-0.472 1.908 -4.532
-2.026 -4.430 -4.347
-6.003 2.325 -1.087
Pr Al Fe
1 6 6
Cartesian
0.000 0.000 0.000
-3.105 0.510 -4.846
-5.396 -0.706 -5.120
-3.378 -2.133 -3.239
-4.650 0.029 -2.195
-6.767 -0.355 -7.521
-1.733 0.159 -2.445
-1.249 -1.261 -4.439
-1.013 -2.215 -2.173
-3.237 2.117 -2.809
-3.001 1.163 -0.544
-5.278 1.647 -4.141
-3.223 -1.843 -5.825


Record 15
PrAl10Fe2 PBEsol relaxed; theoretical density = 4.29 g/cm3; volume = 202.3 Å³/f.u.
1.0
-4.735 4.174 2.378
-3.272 -5.773 1.206
3.727 -0.412 8.142
Pr Al Fe
2 20 4
Cartesian
-1.761 2.648 8.342
-2.519 -4.660 3.385
-2.129 0.206 6.430
-2.152 -2.218 5.296
-3.629 -2.055 2.068
-0.651 0.043 9.658
0.032 -0.572 4.891
-4.313 -1.440 6.835
-6.176 -1.234 2.764
-1.831 -0.366 0.820
-4.133 2.516 2.984
-0.148 -4.528 8.742
-1.282 -4.403 6.263
-2.998 2.391 5.463
-3.244 -0.078 8.882
-1.036 -1.934 2.844
0.416 0.653 7.244
-4.697 -2.665 4.482
0.179 -2.148 7.211
-4.460 0.136 4.515
-2.220 -2.628 8.285
-2.060 0.616 3.441
0.227 -3.093 4.674
-1.636 -2.887 0.603
-2.367 2.087 1.189
-0.504 1.881 5.260


Record 16
Al2FePt PBEsol relaxed; theoretical density = 9.45 g/cm3; volume = 53.6 Å³/f.u.
1.0
-0.314 -1.570 -3.250
-2.334 -2.401 1.385
-1.776 4.478 0.028
Fe Pt Al
1 1 2
Cartesian
-1.324 -1.985 -0.933
-2.717 0.046 0.240
0.000 0.000 0.000
-1.707 0.461 -2.078


Record 17
AlFePt3 PBEsol relaxed; theoretical density = 12.14 g/cm3; volume = 91.4 Å³/f.u.
1.0
-1.764 -2.200 3.513
1.809 -3.843 -1.499
3.729 0.824 2.389
Fe Pt Al
1 3 1
Cartesian
0.000 0.000 0.000
0.905 -1.922 -0.750
1.865 0.412 1.194
-0.882 -1.100 1.756
1.887 -2.610 2.201


Record 18
Al2FePt PBEsol relaxed; theoretical density = 8.47 g/cm3; volume = 59.8 Å³/f.u.
1.0
5.364 0.000 0.000
2.682 4.722 0.000
2.682 0.000 4.722
Fe Pt Al
2 2 4
Cartesian
2.682 0.000 0.000
4.023 2.361 2.361
0.000 0.000 0.000
6.706 2.361 2.361
7.376 4.719 2.358
2.012 0.002 2.363
6.035 2.363 4.719
6.035 2.358 0.002


Record 19
AlFe2Pt PBEsol relaxed; theoretical density = 10.85 g/cm3; volume = 51.1 Å³/f.u.
1.0
-0.482 2.756 0.180
-3.831 -1.996 -1.541
0.023 -0.284 4.404
Fe Pt Al
2 1 1
Cartesian
-4.248 0.494 2.874
-2.127 -0.554 2.776
-4.046 -0.748 0.602
-2.222 0.999 0.584


Record 20
AlFe2Pt PBEsol relaxed; theoretical density = 10.77 g/cm3; volume = 51.4 Å³/f.u.
1.0
-0.407 1.613 2.082
0.268 -0.933 2.482
8.039 2.360 1.450
Fe Pt Al
2 1 1
Cartesian
1.917 0.745 1.504
5.984 2.295 4.510
3.950 1.520 3.007
0.000 0.000 0.000


Record 21
Al2FePt PBEsol relaxed; theoretical density = 9.27 g/cm3; volume = 54.6 Å³/f.u.
1.0
2.787 0.000 0.000
1.394 2.414 0.000
1.394 0.805 8.120
Fe Pt Al
1 1 2
Cartesian
2.787 1.609 4.060
0.000 0.000 0.000
1.394 0.805 2.109
4.181 2.414 6.012


Record 22
Al2FeRuPt PBEsol relaxed; theoretical density = 7.46 g/cm3; volume = 90.4 Å³/f.u.
1.0
4.490 0.000 0.000
0.000 4.486 0.000
0.000 0.000 4.486
Ru Fe Pt Al
1 1 1 2
Cartesian
0.000 0.000 0.000
2.245 0.000 0.000
2.245 2.243 2.243
0.000 0.000 2.243
0.000 2.243 0.000


Record 23
TiAlFePt2 PBEsol relaxed; theoretical density = 10.01 g/cm3; volume = 86.4 Å³/f.u.
1.0
-3.135 2.163 1.188
-0.440 -2.703 3.762
2.844 2.826 2.362
Al Fe Pt Ti
1 1 2 1
Cartesian
-0.365 1.143 3.656
0.000 0.000 0.000
1.422 1.413 1.181
-0.220 -1.352 1.881
-1.568 1.081 0.594


Record 24
Rb2AlFe PBEsol relaxed; theoretical density = 2.17 g/cm3; volume = 194.4 Å³/f.u.
1.0
-1.448 3.108 -3.175
-3.024 -5.255 -7.205
-9.086 1.376 2.053
Fe Rb Al
2 4 2
Cartesian
-7.142 0.391 -4.957
0.000 0.000 0.000
-8.249 2.824 -2.930
-6.396 -1.264 -7.777
-9.961 -1.378 -4.543
-3.960 1.384 -4.577
-6.417 -1.163 -3.370
-0.724 1.554 -1.587


Record 25
AlFe2Re PBEsol relaxed; theoretical density = 11.10 g/cm3; volume = 48.6 Å³/f.u.
1.0
2.745 0.000 0.000
0.000 4.241 0.021
-1.372 -1.240 4.168
Re Fe Al
1 2 1
Cartesian
1.372 2.294 0.090
1.372 -1.087 4.125
0.000 2.402 2.123
1.372 0.273 2.029


Record 26
AlFeRe2 PBEsol relaxed; theoretical density = 14.46 g/cm3; volume = 52.3 Å³/f.u.
1.0
2.854 0.000 0.000
0.000 2.854 0.000
0.000 0.000 6.417
Re Fe Al
2 1 1
Cartesian
0.000 0.000 6.311
1.427 1.427 1.634
1.427 1.427 4.749
0.000 0.000 3.349


Record 27
AlFe2Re PBEsol relaxed; theoretical density = 10.90 g/cm3; volume = 49.5 Å³/f.u.
1.0
2.644 0.000 0.000
0.000 3.598 0.000
0.000 0.000 5.206
Re Fe Al
1 2 1
Cartesian
0.000 0.000 2.485
0.000 0.000 5.193
1.322 1.799 1.327
1.322 1.799 4.009


Energy of formation from the pure elements values, unit eV per atom, following the record order: -0.089; -0.148; 1.759; 2.154; 1.290; -0.500; 0.122; 0.011; 0.240; 0.452; 0.339; 1.298; 0.035; -0.320; -0.356; -0.558; 0.853; -0.052; -0.286; -0.087; -0.418; 0.735; 0.397; 0.853; -0.084; -0.114; -0.029.
Energy values, unit eV/atom, following the record order: -8.6475; -8.7069; -6.4087; -6.1956; -6.0652; -7.4524; -6.0373; -5.2758; -5.0462; -4.8346; -5.3451; -6.0898; -8.2741; -6.7446; -5.2808; -6.5859; -5.9360; -6.0798; -7.5312; -7.3326; -6.4455; -6.1217; -6.6636; -2.9229; -8.9213; -10.0437; -8.8671.
N(E_F) values, unit states/eV per cell, following the record order: 3.76; 2.76; 5.55; 4.72; 7.76; 0.99; 2.89; 1.86; 4.10; 3.41; 4.04; 5.16; 22.62; 9.44; 10.30; 3.22; 4.59; 7.82; 3.03; 3.43; 2.05; 4.02; 4.32; 15.40; 3.07; 3.02; 3.22.